[1]
{"formula": "UAgSb2", "functional": "GGA-PBE", "state": "relaxed", "lattice_angstrom": [[-2.105, 0.122, -3.278], [3.187, -0.848, -2.078], [-1.301, -6.356, 0.599]], "species": ["Sb", "Sb", "U", "Ag"], "fractional_positions": [[0.000, 0.000, 0.754], [0.000, 0.000, 0.246], [0.500, 0.500, 0.500], [0.500, 0.500, 0.000]], "spacegroup": "P4/mmm (123)", "dos_at_fermi_per_ev_atom": 1.32, "mass_density_g_cm3": 9.9, "magnetic_moment_mub_per_fu": 2.80, "formation_energy_uncorrected_kj_per_mol_atoms": 4}


[2]
{"formula": "UAgSb2", "functional": "GGA-PBE", "state": "relaxed", "lattice_angstrom": [[3.270, 0.000, 0.000], [1.635, 2.832, 0.000], [1.635, 0.944, 10.656]], "species": ["Sb", "Sb", "U", "Ag"], "fractional_positions": [[0.085, 0.085, 0.744], [0.915, 0.915, 0.256], [0.500, 0.500, 0.500], [0.000, 0.000, 0.000]], "spacegroup": "R-3m (166)", "dos_at_fermi_per_ev_atom": 1.32, "mass_density_g_cm3": 9.9, "magnetic_moment_mub_per_fu": 1.96, "formation_energy_uncorrected_kj_per_mol_atoms": 9}


[3]
{"formula": "UAg2Sb2", "functional": "GGA-PBE", "state": "relaxed", "lattice_angstrom": [[-3.941, 1.501, -0.765], [-1.703, -3.532, 1.843], [2.013, 4.964, 11.374]], "species": ["U", "U", "Ag", "Ag", "Ag", "Ag", "Sb", "Sb", "Sb", "Sb"], "fractional_positions": [[0.348, 0.250, 0.696], [0.652, 0.750, 0.304], [0.041, 0.750, 0.082], [0.460, 0.750, 0.920], [0.959, 0.250, 0.918], [0.540, 0.250, 0.080], [0.750, 0.250, 0.500], [0.250, 0.750, 0.500], [0.878, 0.750, 0.757], [0.122, 0.250, 0.243]], "spacegroup": "Cmcm (63)", "dos_at_fermi_per_ev_atom": 1.48, "mass_density_g_cm3": 10.1, "magnetic_moment_mub_per_fu": 2.43, "formation_energy_uncorrected_kj_per_mol_atoms": -15}


[4]
{"formula": "VAg3Sb", "functional": "GGA-PBE", "state": "relaxed", "lattice_angstrom": [[-4.506, -0.136, 2.530], [2.480, -1.292, 4.348], [0.518, 5.004, 1.192]], "species": ["Sb", "Ag", "Ag", "Ag", "V"], "fractional_positions": [[0.000, 0.000, 0.000], [0.000, 0.500, 0.000], [0.000, 0.000, 0.500], [0.500, 0.000, 0.000], [0.500, 0.500, 0.500]], "spacegroup": "Pm-3m (221)", "dos_at_fermi_per_ev_atom": 1.73, "mass_density_g_cm3": 6.0, "magnetic_moment_mub_per_fu": 4.44, "formation_energy_uncorrected_kj_per_mol_atoms": 94}


[5]
{"formula": "VAg2Sb2", "functional": "GGA-PBE", "state": "relaxed", "lattice_angstrom": [[-1.123, -2.617, 6.630], [-5.409, -4.058, -2.518], [2.749, -3.175, -0.788]], "species": ["Sb", "Sb", "Sb", "Sb", "Ag", "Ag", "Ag", "Ag", "V", "V"], "fractional_positions": [[0.346, 0.846, 0.000], [0.846, 0.654, 0.000], [0.654, 0.154, 0.000], [0.154, 0.346, 0.000], [0.149, 0.649, 0.500], [0.649, 0.851, 0.500], [0.851, 0.351, 0.500], [0.351, 0.149, 0.500], [0.000, 0.000, 0.000], [0.500, 0.500, 0.000]], "spacegroup": "P4/mbm (127)", "dos_at_fermi_per_ev_atom": 0.49, "mass_density_g_cm3": 7.6, "magnetic_moment_mub_per_fu": 2.61, "formation_energy_uncorrected_kj_per_mol_atoms": 26}


[6]
{"formula": "V2AgSb", "functional": "GGA-PBE", "state": "relaxed", "lattice_angstrom": [[-1.535, -6.963, 1.556], [7.102, -1.644, -0.350], [3.040, -3.763, 3.273]], "species": ["Sb", "Sb", "Ag", "Ag", "V", "V", "V", "V"], "fractional_positions": [[0.000, 0.000, 0.000], [0.750, 0.250, 0.500], [0.500, 0.500, 0.000], [0.250, 0.750, 0.500], [0.630, 0.125, 0.250], [0.120, 0.625, 0.250], [0.375, 0.370, 0.750], [0.875, 0.880, 0.750]], "spacegroup": "I-42d (122)", "dos_at_fermi_per_ev_atom": 0.75, "mass_density_g_cm3": 7.6, "magnetic_moment_mub_per_fu": 0.00, "formation_energy_uncorrected_kj_per_mol_atoms": 57}


[7]
{"formula": "VAg3Sb", "functional": "GGA-PBE", "state": "relaxed", "lattice_angstrom": [[-1.145, 4.816, 0.633], [-0.769, -0.821, 4.862], [4.796, 1.018, 0.931]], "species": ["Sb", "Ag", "Ag", "Ag", "V"], "fractional_positions": [[0.500, 0.500, 0.500], [0.000, 0.500, 0.000], [0.000, 0.000, 0.500], [0.500, 0.000, 0.000], [0.000, 0.000, 0.000]], "spacegroup": "Pm-3m (221)", "dos_at_fermi_per_ev_atom": 0.81, "mass_density_g_cm3": 6.6, "magnetic_moment_mub_per_fu": 3.35, "formation_energy_uncorrected_kj_per_mol_atoms": 105}


[8]
{"formula": "V3AgSb", "functional": "GGA-PBE", "state": "relaxed", "lattice_angstrom": [[5.124, 0.000, 0.000], [0.000, 5.124, 0.000], [0.000, 0.000, 5.124]], "species": ["Sb", "Ag", "V", "V", "V"], "fractional_positions": [[0.000, 0.000, 0.000], [0.500, 0.500, 0.500], [0.000, 0.500, 0.000], [0.000, 0.000, 0.500], [0.500, 0.000, 0.000]], "spacegroup": "Pm-3m (221)", "dos_at_fermi_per_ev_atom": 1.57, "mass_density_g_cm3": 4.7, "magnetic_moment_mub_per_fu": 10.73, "formation_energy_uncorrected_kj_per_mol_atoms": 131}


[9]
{"formula": "VZnAgSb2", "functional": "GGA-PBE", "state": "relaxed", "lattice_angstrom": [[5.043, 0.000, 0.000], [0.000, 5.257, 0.000], [0.000, 0.000, 5.043]], "species": ["Sb", "Sb", "Zn", "Ag", "V"], "fractional_positions": [[0.000, 0.000, 0.500], [0.500, 0.000, 0.000], [0.500, 0.500, 0.500], [0.000, 0.500, 0.000], [0.000, 0.000, 0.000]], "spacegroup": "P4/mmm (123)", "dos_at_fermi_per_ev_atom": 0.64, "mass_density_g_cm3": 5.8, "magnetic_moment_mub_per_fu": 0.86, "formation_energy_uncorrected_kj_per_mol_atoms": 55}


[10]
{"formula": "ZrVAg2Sb", "functional": "GGA-PBE", "state": "relaxed", "lattice_angstrom": [[4.997, 0.000, 0.000], [0.000, 4.686, 0.000], [0.000, 0.000, 4.997]], "species": ["Sb", "Zr", "Ag", "Ag", "V"], "fractional_positions": [[0.500, 0.500, 0.500], [0.000, 0.500, 0.000], [0.000, 0.000, 0.500], [0.500, 0.000, 0.000], [0.000, 0.000, 0.000]], "spacegroup": "P4/mmm (123)", "dos_at_fermi_per_ev_atom": 0.78, "mass_density_g_cm3": 6.8, "magnetic_moment_mub_per_fu": 0.88, "formation_energy_uncorrected_kj_per_mol_atoms": 80}


[11]
{"formula": "AgSb2W", "functional": "GGA-PBE", "state": "relaxed", "lattice_angstrom": [[-0.314, 8.650, 2.018], [-2.506, 7.387, 4.260], [0.807, 7.350, 4.931]], "species": ["Sb", "Sb", "Ag", "W"], "fractional_positions": [[0.993, 0.993, 0.993], [0.507, 0.507, 0.507], [0.750, 0.750, 0.750], [0.250, 0.250, 0.250]], "spacegroup": "R-3m (166)", "dos_at_fermi_per_ev_atom": 0.84, "mass_density_g_cm3": 10.4, "magnetic_moment_mub_per_fu": 0.00, "formation_energy_uncorrected_kj_per_mol_atoms": 34}


[12]
{"formula": "Ag2SbW", "functional": "GGA-PBE", "state": "relaxed", "lattice_angstrom": [[-1.294, -2.835, -0.287], [3.668, -1.889, 2.119], [-2.312, 0.596, 4.532]], "species": ["Sb", "Ag", "Ag", "W"], "fractional_positions": [[0.500, 0.000, 0.500], [0.000, 0.000, 0.000], [0.500, 0.500, 0.000], [0.000, 0.500, 0.500]], "spacegroup": "Pmmm (47)", "dos_at_fermi_per_ev_atom": 0.75, "mass_density_g_cm3": 11.6, "magnetic_moment_mub_per_fu": 0.00, "formation_energy_uncorrected_kj_per_mol_atoms": 57}


[13]
{"formula": "AgSb4W", "functional": "GGA-PBE", "state": "relaxed", "lattice_angstrom": [[0.000, 4.310, 4.310], [4.310, 0.000, 4.310], [4.310, 4.310, 0.000]], "species": ["Ag", "Sb", "Sb", "Sb", "Sb", "W"], "fractional_positions": [[0.000, 0.000, 0.000], [0.876, 0.375, 0.375], [0.375, 0.375, 0.876], [0.375, 0.876, 0.375], [0.375, 0.375, 0.375], [0.750, 0.750, 0.750]], "spacegroup": "F-43m (216)", "dos_at_fermi_per_ev_atom": 0.69, "mass_density_g_cm3": 8.1, "magnetic_moment_mub_per_fu": 3.71, "formation_energy_uncorrected_kj_per_mol_atoms": 114}


[14]
{"formula": "Ag2SbW", "functional": "GGA-PBE", "state": "relaxed", "lattice_angstrom": [[5.985, 0.045, 0.092], [5.194, 2.974, 0.092], [1.801, 0.486, 4.313]], "species": ["Sb", "Ag", "Ag", "W"], "fractional_positions": [[0.750, 0.750, 0.750], [0.990, 0.990, 0.010], [0.510, 0.510, 0.490], [0.250, 0.250, 0.250]], "spacegroup": "C2/m (12)", "dos_at_fermi_per_ev_atom": 0.35, "mass_density_g_cm3": 11.5, "magnetic_moment_mub_per_fu": 0.00, "formation_energy_uncorrected_kj_per_mol_atoms": 54}


[15]
{"formula": "Ag2SbW", "functional": "GGA-PBE", "state": "relaxed", "lattice_angstrom": [[-4.896, -2.454, 8.416], [-2.184, -2.001, 9.594], [-4.041, 0.307, 9.187]], "species": ["Sb", "Ag", "Ag", "W"], "fractional_positions": [[0.250, 0.250, 0.250], [0.005, 0.005, 0.005], [0.495, 0.495, 0.495], [0.750, 0.750, 0.750]], "spacegroup": "R-3m (166)", "dos_at_fermi_per_ev_atom": 1.16, "mass_density_g_cm3": 11.3, "magnetic_moment_mub_per_fu": 0.00, "formation_energy_uncorrected_kj_per_mol_atoms": 60}


[16]
{"formula": "Ag2SbW", "functional": "GGA-PBE", "state": "relaxed", "lattice_angstrom": [[2.904, 0.005, 0.000], [-0.912, 2.757, 0.000], [0.000, 0.000, 9.900]], "species": ["Sb", "Ag", "Ag", "W"], "fractional_positions": [[0.000, 0.000, 0.528], [0.000, 0.000, 0.991], [0.500, 0.500, 0.222], [0.500, 0.500, 0.760]], "spacegroup": "Cmm2 (35)", "dos_at_fermi_per_ev_atom": 0.71, "mass_density_g_cm3": 10.9, "magnetic_moment_mub_per_fu": 0.00, "formation_energy_uncorrected_kj_per_mol_atoms": 51}


[17]
{"formula": "AgSbW3", "functional": "GGA-PBE", "state": "relaxed", "lattice_angstrom": [[4.890, 0.000, 0.000], [0.000, 4.890, 0.000], [0.000, 0.000, 4.890]], "species": ["Sb", "Ag", "W", "W", "W"], "fractional_positions": [[0.000, 0.000, 0.000], [0.500, 0.500, 0.500], [0.000, 0.500, 0.000], [0.000, 0.000, 0.500], [0.500, 0.000, 0.000]], "spacegroup": "Pm-3m (221)", "dos_at_fermi_per_ev_atom": 1.41, "mass_density_g_cm3": 11.1, "magnetic_moment_mub_per_fu": 0.00, "formation_energy_uncorrected_kj_per_mol_atoms": 255}


[18]
{"formula": "AgSb2W", "functional": "GGA-PBE", "state": "relaxed", "lattice_angstrom": [[-2.659, -2.246, -0.229], [2.168, -2.971, 3.974], [-2.265, 2.375, 3.011]], "species": ["Sb", "Sb", "Ag", "W"], "fractional_positions": [[0.000, 0.000, 0.000], [0.500, 0.500, 0.000], [0.000, 0.500, 0.500], [0.500, 0.000, 0.500]], "spacegroup": "Pmmm (47)", "dos_at_fermi_per_ev_atom": 0.86, "mass_density_g_cm3": 10.6, "magnetic_moment_mub_per_fu": 0.00, "formation_energy_uncorrected_kj_per_mol_atoms": 78}


[19]
{"formula": "Ag2SbW", "functional": "GGA-PBE", "state": "relaxed", "lattice_angstrom": [[5.076, -0.044, -0.016], [1.560, 4.831, 0.016], [-3.309, -2.406, 3.005]], "species": ["Sb", "Ag", "Ag", "W"], "fractional_positions": [[0.500, 0.500, 0.000], [0.000, 0.000, 0.000], [0.250, 0.750, 0.500], [0.750, 0.250, 0.500]], "spacegroup": "I-4m2 (119)", "dos_at_fermi_per_ev_atom": 0.98, "mass_density_g_cm3": 11.7, "magnetic_moment_mub_per_fu": 0.00, "formation_energy_uncorrected_kj_per_mol_atoms": 66}


[20]
{"formula": "AgSb2W", "functional": "GGA-PBE", "state": "relaxed", "lattice_angstrom": [[-2.906, 0.380, -3.808], [-3.221, -2.639, -2.398], [-4.782, 1.737, 2.650]], "species": ["Sb", "Sb", "Ag", "W"], "fractional_positions": [[0.020, 0.020, 0.970], [0.480, 0.480, 0.530], [0.250, 0.250, 0.250], [0.750, 0.750, 0.750]], "spacegroup": "C2/m (12)", "dos_at_fermi_per_ev_atom": 0.87, "mass_density_g_cm3": 10.4, "magnetic_moment_mub_per_fu": 0.00, "formation_energy_uncorrected_kj_per_mol_atoms": 53}


[21]
{"formula": "AgSb2W", "functional": "GGA-PBE", "state": "relaxed", "lattice_angstrom": [[-0.401, 2.706, -6.616], [-4.043, -1.171, -5.791], [1.174, 1.619, 6.874]], "species": ["Sb", "Sb", "Ag", "W"], "fractional_positions": [[0.975, 0.975, 0.000], [0.696, 0.196, 0.500], [0.314, 0.814, 0.500], [0.515, 0.515, 0.000]], "spacegroup": "Imm2 (44)", "dos_at_fermi_per_ev_atom": 0.54, "mass_density_g_cm3": 9.8, "magnetic_moment_mub_per_fu": 0.00, "formation_energy_uncorrected_kj_per_mol_atoms": 48}


[22]
{"formula": "AgSb2W", "functional": "GGA-PBE", "state": "relaxed", "lattice_angstrom": [[2.993, 0.026, 0.000], [-0.619, 2.928, 0.000], [0.000, 0.000, 10.351]], "species": ["Sb", "Sb", "Ag", "W"], "fractional_positions": [[0.000, 0.000, 0.953], [0.500, 0.500, 0.311], [0.500, 0.500, 0.722], [0.000, 0.000, 0.514]], "spacegroup": "Cmm2 (35)", "dos_at_fermi_per_ev_atom": 0.68, "mass_density_g_cm3": 9.8, "magnetic_moment_mub_per_fu": 0.00, "formation_energy_uncorrected_kj_per_mol_atoms": 52}


[23]
{"formula": "Ag2SbW", "functional": "GGA-PBE", "state": "relaxed", "lattice_angstrom": [[-5.460, -3.411, 4.285], [5.406, -4.328, 3.442], [0.280, -1.975, 5.764]], "species": ["Sb", "Sb", "Ag", "Ag", "Ag", "Ag", "W", "W"], "fractional_positions": [[0.500, 0.500, 0.000], [0.250, 0.750, 0.500], [0.629, 0.125, 0.250], [0.121, 0.625, 0.250], [0.375, 0.371, 0.750], [0.875, 0.879, 0.750], [0.000, 0.000, 0.000], [0.750, 0.250, 0.500]], "spacegroup": "I-42d (122)", "dos_at_fermi_per_ev_atom": 0.89, "mass_density_g_cm3": 10.7, "magnetic_moment_mub_per_fu": 0.00, "formation_energy_uncorrected_kj_per_mol_atoms": 84}


[24]
{"formula": "Ag2SbW", "functional": "GGA-PBE", "state": "relaxed", "lattice_angstrom": [[-1.916, -9.278, 2.455], [0.923, -9.079, 3.537], [-1.423, -8.144, 5.238]], "species": ["Sb", "Ag", "Ag", "W"], "fractional_positions": [[0.494, 0.494, 0.494], [0.002, 0.002, 0.002], [0.256, 0.256, 0.256], [0.748, 0.748, 0.748]], "spacegroup": "R3m (160)", "dos_at_fermi_per_ev_atom": 0.84, "mass_density_g_cm3": 11.2, "magnetic_moment_mub_per_fu": 0.00, "formation_energy_uncorrected_kj_per_mol_atoms": 48}


[25]
{"formula": "AgSb2W", "functional": "GGA-PBE", "state": "relaxed", "lattice_angstrom": [[5.034, 0.009, 0.000], [0.825, 4.966, 0.000], [-2.929, -2.488, 3.251]], "species": ["Sb", "Sb", "Ag", "W"], "fractional_positions": [[0.000, 0.000, 0.000], [0.500, 0.500, 0.000], [0.750, 0.250, 0.500], [0.250, 0.750, 0.500]], "spacegroup": "I4/mmm (139)", "dos_at_fermi_per_ev_atom": 0.79, "mass_density_g_cm3": 10.9, "magnetic_moment_mub_per_fu": 0.00, "formation_energy_uncorrected_kj_per_mol_atoms": 63}


[26]
{"formula": "Ag2SbW", "functional": "GGA-PBE", "state": "relaxed", "lattice_angstrom": [[-2.183, 3.620, -1.659], [0.300, -1.527, -3.727], [-3.528, -1.901, 0.495]], "species": ["Sb", "Ag", "Ag", "W"], "fractional_positions": [[0.500, 0.500, 0.000], [0.000, 0.000, 0.000], [0.000, 0.500, 0.500], [0.500, 0.000, 0.500]], "spacegroup": "P4/mmm (123)", "dos_at_fermi_per_ev_atom": 0.77, "mass_density_g_cm3": 11.7, "magnetic_moment_mub_per_fu": 0.96, "formation_energy_uncorrected_kj_per_mol_atoms": 63}


[27]
{"formula": "AgSb2W", "functional": "GGA-PBE", "state": "relaxed", "lattice_angstrom": [[4.684, -0.494, -1.326], [2.378, -4.174, 0.928], [1.199, -3.002, -3.673]], "species": ["Sb", "Sb", "Ag", "W"], "fractional_positions": [[0.250, 0.250, 0.250], [0.750, 0.750, 0.750], [0.000, 0.000, 0.000], [0.500, 0.500, 0.500]], "spacegroup": "Fm-3m (225)", "dos_at_fermi_per_ev_atom": 0.89, "mass_density_g_cm3": 10.7, "magnetic_moment_mub_per_fu": 1.43, "formation_energy_uncorrected_kj_per_mol_atoms": 65}


[28]
{"formula": "Ag2SbW", "functional": "GGA-PBE", "state": "relaxed", "lattice_angstrom": [[-3.463, -0.284, 3.182], [-1.832, -4.194, 1.119], [0.841, -1.884, 4.236]], "species": ["Sb", "Ag", "Ag", "W"], "fractional_positions": [[0.500, 0.500, 0.500], [0.000, 0.000, 0.000], [0.250, 0.250, 0.250], [0.750, 0.750, 0.750]], "spacegroup": "F-43m (216)", "dos_at_fermi_per_ev_atom": 0.85, "mass_density_g_cm3": 11.7, "magnetic_moment_mub_per_fu": 0.42, "formation_energy_uncorrected_kj_per_mol_atoms": 66}


[29]
{"formula": "Ag2SbW", "functional": "GGA-PBE", "state": "relaxed", "lattice_angstrom": [[4.429, 0.000, 0.000], [0.000, 2.898, 0.215], [0.000, 0.993, 5.940]], "species": ["Sb", "Ag", "Ag", "W"], "fractional_positions": [[0.000, 0.292, 0.540], [0.000, 0.052, 0.019], [0.500, 0.453, 0.218], [0.500, 0.702, 0.723]], "spacegroup": "Pm (6)", "dos_at_fermi_per_ev_atom": 0.76, "mass_density_g_cm3": 11.5, "magnetic_moment_mub_per_fu": 0.00, "formation_energy_uncorrected_kj_per_mol_atoms": 57}